1.
Here is Na4Al2ZnHg after structural relaxation from OQMD via LeMat-Bulk. Energies are from PBE.

## Properties
**Raw total energy**: -13.95 eV per formula unit
**Space group**: P-4m2
**Mass density**: 3.99 g/cm³

Structure (CIF):
```
data_Na4Al2ZnHg
_chemical_formula_sum 'Na4 Al2 Zn1 Hg1'
_cell_length_a 4.944
_cell_length_b 4.944
_cell_length_c 7.016
_cell_angle_alpha 90.00
_cell_angle_beta 90.00
_cell_angle_gamma 90.00
_symmetry_space_group_name_H-M 'P 1'
_symmetry_Int_Tables_number 1
_symmetry_space_group_name_Hall 'P 1'
loop_
_atom_site_label
_atom_site_fract_x
_atom_site_fract_y
_atom_site_fract_z
_atom_site_occupancy
Al1 0.500 0.000 0.259 1
Al2 0.000 0.500 0.741 1
Hg1 0.000 0.000 0.000 1
Na1 0.500 0.500 0.000 1
Na2 0.000 0.500 0.257 1
Na3 0.000 0.000 0.500 1
Na4 0.500 0.000 0.743 1
Zn1 0.500 0.500 0.500 1
```

2.
Here is ZrBi after structural relaxation from OQMD via LeMat-Bulk. Energies are from PBE.

## Properties
**Raw total energy**: -12.97 eV per formula unit
**Space group**: P-6m2
**Mass density**: 9.98 g/cm³

Structure (CIF):
```
data_ZrBi
_chemical_formula_sum 'Zr1 Bi1'
_cell_length_a 3.533
_cell_length_b 3.533
_cell_length_c 4.620
_cell_angle_alpha 90.00
_cell_angle_beta 90.00
_cell_angle_gamma 120.00
_symmetry_space_group_name_H-M 'P 1'
_symmetry_Int_Tables_number 1
_symmetry_space_group_name_Hall 'P 1'
loop_
_atom_site_label
_atom_site_fract_x
_atom_site_fract_y
_atom_site_fract_z
_atom_site_occupancy
Bi1 0.667 0.333 0.750 1
Zr1 0.333 0.667 0.250 1
```

The lowest raw total energy belongs to which entry?
Na4Al2ZnHg

Number 1 is which compound?
Na4Al2ZnHg

Among the records above, which one has the lowest mass density?
Na4Al2ZnHg